This record from Alexandria via LeMat-Bulk describes a relaxed PaVCuO6 crystal. The functional is PBE+U.

For the density of states at the Fermi level, the calculation gives 0.420 states/eV per atom. As for the spin magnetization: 2.08 Bohr magnetons per cell. For the total energy, the calculation gives -7.6762 eV/atom.

It has space group P-31c (No. 163), with a = 5.3876 Å, b = 5.3876 Å, c = 8.6365 Å, α = 90.00°, β = 90.00° and γ = 120.00°. Symmetry generates all atoms from Pa at (0.3333, 0.6667, 0.2500), V at (0.3333, 0.6667, 0.7500), Cu at (0.0000, 0.0000, 0.0000) and O at (0.0372, 0.3663, 0.6305).